Computed, not measured: a relaxed structure of LiFePO4 at the PBE with a Hubbard U level of DFT.

## Properties
- magnetization (μB/cell) = 16.0
- uncorrected energy (eV per atom) = -6.7427
- energy above the most stable polymorph in this dataset (eV/atom) = 0.090

Unit cell a=7.228 b=7.228 c=7.228 alpha=90.00 beta=90.00 gamma=90.00
Space group P2_13 (No. 198)
Inequivalent atoms, fractional coordinates:
Li 0.196 0.304 0.696 x4
Fe 0.245 0.245 0.245 x4
P 0.034 0.966 0.466 x4
O 0.030 0.894 0.671 x12
O 0.154 0.846 0.346 x4